1.
CaC2, relaxed, DFT PBEsol; polymorph energy (0 for the lowest one) = 0.108 eV per atom
1.0
-1.481 3.524 -0.463
-3.725 0.137 -0.963
-3.398 1.316 6.340
C Ca
4 2
Direct
0.856 0.577 0.561 C
0.577 0.856 0.061 C
0.423 0.144 0.939 C
0.144 0.423 0.439 C
0.171 0.829 0.750 Ca
0.829 0.171 0.250 Ca

=====

2.
Ca3CdC, relaxed, DFT PBEsol; energy = -16.98 eV per cell
1.0
-1.657 3.191 3.543
1.659 -3.131 3.596
4.470 2.344 -0.021
Ca Cd C
3 1 1
Direct
0.000 0.000 0.500 Ca
0.000 0.500 0.000 Ca
0.500 0.000 0.000 Ca
0.500 0.500 0.500 Cd
0.000 0.000 0.000 C

=====

3.
Ca2CdOsC, relaxed, DFT PBEsol; energy = -19.00 eV per cell
1.0
-4.393 -2.101 -1.414
0.822 -3.999 3.390
-2.520 2.707 3.805
Cd Ca C Os
1 2 1 1
Direct
0.500 0.000 0.000 Cd
0.000 0.000 0.500 Ca
0.000 0.500 0.000 Ca
0.500 0.500 0.500 C
0.000 0.000 0.000 Os

=====

4.
Ca2CdCS, relaxed, DFT PBEsol; formation energy without anion corrections = 550 meV per atom
1.0
4.831 0.000 0.000
0.000 5.126 0.000
0.000 0.000 5.126
Ca S C Cd
2 1 1 1
Direct
0.000 0.500 0.000 Ca
0.000 0.000 0.500 Ca
0.000 0.000 0.000 S
0.500 0.500 0.500 C
0.500 0.000 0.000 Cd

=====

5.
CaC2Cl, relaxed, DFT PBEsol; formation energy without anion corrections = 1829 meV per atom
1.0
5.252 0.029 0.046
-2.019 4.848 -0.046
-2.019 -2.171 4.335
C Cl Ca
4 2 2
Direct
0.911 0.536 0.125 C
0.589 0.375 0.464 C
0.411 0.875 0.786 C
0.089 0.214 0.625 C
0.500 0.250 0.750 Cl
0.000 0.500 0.500 Cl
0.000 0.000 0.000 Ca
0.500 0.750 0.250 Ca

=====

6.
Ca3C3Cl2, relaxed, DFT PBEsol; formation energy without anion corrections = -1031 meV per atom
1.0
3.799 0.000 0.000
-1.899 6.644 0.000
0.000 0.000 11.447
Cl Ca C
4 6 6
Direct
0.471 0.943 0.250 Cl
0.000 0.000 0.000 Cl
0.529 0.057 0.750 Cl
0.000 0.000 0.500 Cl
0.344 0.688 0.061 Ca
0.878 0.757 0.750 Ca
0.344 0.688 0.439 Ca
0.656 0.312 0.561 Ca
0.122 0.243 0.250 Ca
0.656 0.312 0.939 Ca
0.733 0.466 0.134 C
0.733 0.466 0.366 C
0.256 0.513 0.750 C
0.267 0.534 0.634 C
0.744 0.487 0.250 C
0.267 0.534 0.866 C

=====

7.
CaH16C4N8Cl2O4, relaxed, DFT PBEsol; energy = -426.91 eV per cell
1.0
7.608 -0.044 0.000
-3.296 7.395 0.000
0.000 0.000 12.531
C H N O Ca Cl
8 32 16 8 2 4
Direct
0.667 0.123 0.401 C
0.487 0.705 0.197 C
0.833 0.877 0.901 C
0.513 0.295 0.803 C
0.013 0.295 0.697 C
0.167 0.123 0.099 C
0.333 0.877 0.599 C
0.987 0.705 0.303 C
0.558 0.265 0.496 H
0.952 0.173 0.173 H
0.442 0.735 0.504 H
0.548 0.827 0.673 H
0.976 0.584 0.156 H
0.232 0.198 0.945 H
0.793 0.436 0.306 H
0.365 0.180 0.667 H
0.048 0.827 0.827 H
0.707 0.564 0.806 H
0.058 0.055 0.250 H
0.942 0.945 0.750 H
0.865 0.180 0.833 H
0.058 0.265 0.004 H
0.135 0.820 0.167 H
0.442 0.945 0.750 H
0.186 0.439 0.576 H
0.686 0.439 0.924 H
0.524 0.416 0.656 H
0.814 0.561 0.424 H
0.732 0.198 0.555 H
0.293 0.436 0.194 H
0.942 0.735 0.996 H
0.452 0.173 0.327 H
0.207 0.564 0.694 H
0.024 0.416 0.844 H
0.635 0.820 0.333 H
0.558 0.055 0.250 H
0.476 0.584 0.344 H
0.314 0.561 0.076 H
0.268 0.802 0.445 H
0.768 0.802 0.055 H
0.466 0.298 0.700 N
0.534 0.702 0.300 N
0.561 0.132 0.316 N
0.636 0.449 0.849 N
0.966 0.298 0.800 N
0.343 0.790 0.510 N
0.657 0.210 0.490 N
0.864 0.551 0.349 N
0.136 0.449 0.651 N
0.439 0.868 0.684 N
0.843 0.790 0.990 N
0.364 0.551 0.151 N
0.157 0.210 0.010 N
0.034 0.702 0.200 N
0.939 0.868 0.816 N
0.061 0.132 0.184 N
0.938 0.147 0.643 O
0.562 0.853 0.143 O
0.723 0.960 0.893 O
0.438 0.147 0.857 O
0.777 0.040 0.393 O
0.062 0.853 0.357 O
0.277 0.040 0.107 O
0.223 0.960 0.607 O
0.500 0.000 0.000 Ca
0.000 0.000 0.500 Ca
0.795 0.317 0.069 Cl
0.205 0.683 0.931 Cl
0.705 0.683 0.569 Cl
0.295 0.317 0.431 Cl

=====

8.
CaPCCl2, relaxed, DFT PBEsol; formation energy without anion corrections = 69 meV per atom
1.0
-0.047 -2.658 2.493
1.227 -3.385 -3.587
4.931 0.793 0.939
Cl C Ca P
2 1 1 1
Direct
0.000 0.500 0.000 Cl
0.000 0.000 0.500 Cl
0.000 0.000 0.000 C
0.500 0.500 0.500 Ca
0.500 0.000 0.000 P

=====

9.
CaCSCl2, relaxed, DFT PBEsol; formation energy without anion corrections = -145 meV per atom
1.0
-0.818 -4.067 0.450
0.066 -0.512 -4.510
4.451 -0.877 0.165
Ca Cl S C
1 2 1 1
Direct
0.500 0.500 0.500 Ca
0.000 0.500 0.000 Cl
0.000 0.000 0.500 Cl
0.500 0.000 0.000 S
0.000 0.000 0.000 C

=====

10.
CaTlC2Cl, relaxed, DFT PBEsol; formation energy without anion corrections = 2071 meV per atom
1.0
4.389 0.000 0.000
0.000 4.389 0.000
0.000 0.000 5.179
Ca C Cl Tl
1 2 1 1
Direct
0.500 0.500 0.500 Ca
0.500 0.000 0.000 C
0.000 0.500 0.000 C
0.000 0.000 0.000 Cl
0.000 0.000 0.500 Tl

=====

11.
Ca2CoC, relaxed, DFT PBEsol; energy = -43.53 eV per cell
1.0
-1.590 1.628 -2.766
2.581 -3.328 -5.760
-5.982 -3.735 -1.079
C Co Ca
2 2 4
Direct
0.500 0.000 0.000 C
0.250 0.500 0.500 C
0.000 0.000 0.000 Co
0.750 0.500 0.500 Co
0.375 0.303 0.197 Ca
0.322 0.803 0.303 Ca
0.428 0.197 0.697 Ca
0.875 0.697 0.803 Ca

=====

12.
CaCr3C, relaxed, DFT PBEsol; energy = -24.49 eV per cell
1.0
-3.369 -1.120 3.349
1.385 -4.677 -0.171
3.249 0.832 3.546
Cr Ca C
3 1 1
Direct
0.000 0.500 0.000 Cr
0.500 0.000 0.000 Cr
0.000 0.000 0.500 Cr
0.000 0.000 0.000 Ca
0.500 0.500 0.500 C

=====

no.,total magnetization (Bohr magnetons per cell)
1,0.00
2,0.00
3,2.83
4,0.24
5,0.00
6,0.00
7,0.00
8,0.00
9,0.00
10,0.02
11,0.00
12,12.51